[1]
# Sm6Zn2Hg | Alexandria via LeMat-Bulk | PBE | relaxed
# offset from the most stable computed form = 201 meV/atom
# N(E_F) = 30.99 states/eV per cell
# formation energy from the elements = -9 meV per atom
data_Sm6Zn2Hg
_chemical_formula_sum 'Sm12 Zn4 Hg2'
_cell_length_a 16.048
_cell_length_b 7.249
_cell_length_c 5.081
_cell_angle_alpha 90.00
_cell_angle_beta 108.30
_cell_angle_gamma 90.00
_space_group_name_H-M_alt 'C 1 2/m 1'
_space_group_IT_number 12
loop_
_space_group_symop_operation_xyz
'x,y,z'
'-x,-y,-z'
'-x,y,-z'
'x,-y,z'
'x+1/2,y+1/2,z'
'-x+1/2,-y+1/2,-z'
'-x+1/2,y+1/2,-z'
'x+1/2,-y+1/2,z'
loop_
_atom_site_label
_atom_site_type_symbol
_atom_site_fract_x
_atom_site_fract_y
_atom_site_fract_z
_atom_site_occupancy
Sm1 Sm 0.000 0.242 0.000 1
Sm2 Sm 0.170 0.246 0.670 1
Zn1 Zn 0.167 0.000 0.167 1
Hg1 Hg 0.000 0.500 0.500 1

[2]
# Y2ScPb | Alexandria via LeMat-Bulk | PBE | relaxed
# N(E_F) = 23.38 states/eV per cell
# formation energy from the elements = -76 meV per atom
data_Y2ScPb
_chemical_formula_sum 'Y8 Sc4 Pb4'
_cell_length_a 7.580
_cell_length_b 7.580
_cell_length_c 7.580
_cell_angle_alpha 90.00
_cell_angle_beta 90.00
_cell_angle_gamma 90.00
_space_group_name_H-M_alt 'F -4 3 m'
_space_group_IT_number 216
_space_group_name_Hall 'F -4 2 3'
loop_
_atom_site_label
_atom_site_type_symbol
_atom_site_fract_x
_atom_site_fract_y
_atom_site_fract_z
_atom_site_occupancy
Y1 Y 0.000 0.000 0.000 1
Y2 Y 0.250 0.250 0.250 1
Sc1 Sc 0.250 0.250 0.750 1
Pb1 Pb 0.000 0.000 0.500 1

[3]
# La3Dy6Tm2 | Alexandria via LeMat-Bulk | PBE | relaxed
# N(E_F) = 44.05 states/eV per cell
# formation energy from the elements = 23 meV per atom
data_La3Dy6Tm2
_chemical_formula_sum 'La9 Dy18 Tm6'
_cell_length_a 3.5924
_cell_length_b 3.5924
_cell_length_c 96.0759
_cell_angle_alpha 90.00
_cell_angle_beta 90.00
_cell_angle_gamma 120.00
_space_group_name_H-M_alt 'R -3 m'
_space_group_IT_number 166
_space_group_name_Hall '-R 3 2"'
loop_
_atom_site_label
_atom_site_type_symbol
_atom_site_fract_x
_atom_site_fract_y
_atom_site_fract_z
_atom_site_occupancy
La1 La 0.0000 0.0000 0.0000 1
La2 La 0.0000 0.0000 0.2716 1
Dy1 Dy 0.0000 0.0000 0.0929 1
Dy2 Dy 0.0000 0.0000 0.1816 1
Dy3 Dy 0.0000 0.0000 0.3641 1
Tm1 Tm 0.0000 0.0000 0.4556 1

[4]
# Nd5HoTl2 | Alexandria via LeMat-Bulk | PBE | relaxed
# offset from the most stable computed form = 0 meV/atom
# N(E_F) = 20.67 states/eV per cell
# formation energy from the elements = -106 meV per atom
data_Nd5HoTl2
_chemical_formula_sum 'Nd10 Ho2 Tl4'
_cell_length_a 3.698
_cell_length_b 11.101
_cell_length_c 12.512
_cell_angle_alpha 90.00
_cell_angle_beta 90.00
_cell_angle_gamma 90.00
_space_group_name_H-M_alt 'I m m m'
_space_group_IT_number 71
_space_group_name_Hall '-I 2 2'
loop_
_atom_site_label
_atom_site_type_symbol
_atom_site_fract_x
_atom_site_fract_y
_atom_site_fract_z
_atom_site_occupancy
Nd1 Nd 0.000 0.000 0.000 1
Nd2 Nd 0.000 0.279 0.362 1
Ho1 Ho 0.000 0.500 0.000 1
Tl1 Tl 0.000 0.000 0.277 1

[5]
# SrS | Alexandria via LeMat-Bulk | PBE | relaxed
# offset from the most stable computed form = 272 meV/atom
# N(E_F) = 0.00 states/eV per cell
# raw formation energy = -1.88 eV per atom
data_SrS
_chemical_formula_sum 'Sr4 S4'
_cell_length_a 6.674
_cell_length_b 6.674
_cell_length_c 6.674
_cell_angle_alpha 90.00
_cell_angle_beta 90.00
_cell_angle_gamma 90.00
_space_group_name_H-M_alt 'F -4 3 m'
_space_group_IT_number 216
_space_group_name_Hall 'F -4 2 3'
loop_
_atom_site_label
_atom_site_type_symbol
_atom_site_fract_x
_atom_site_fract_y
_atom_site_fract_z
_atom_site_occupancy
Sr1 Sr 0.000 0.000 0.000 1
S1 S 0.250 0.250 0.250 1

[6]
# Nb2TlCo2 | Alexandria via LeMat-Bulk | PBE | relaxed
# offset from the most stable computed form = 220 meV/atom
# N(E_F) = 7.51 states/eV per cell
# formation energy from the elements = 262 meV per atom
data_Nb2TlCo2
_chemical_formula_sum 'Nb4 Tl2 Co4'
_cell_length_a 7.608
_cell_length_b 7.608
_cell_length_c 2.879
_cell_angle_alpha 90.00
_cell_angle_beta 90.00
_cell_angle_gamma 90.00
_space_group_name_H-M_alt 'P 4/m b m'
_space_group_IT_number 127
_space_group_name_Hall '-P 4 2ab'
loop_
_atom_site_label
_atom_site_type_symbol
_atom_site_fract_x
_atom_site_fract_y
_atom_site_fract_z
_atom_site_occupancy
Nb1 Nb 0.151 0.349 0.000 1
Tl1 Tl 0.000 0.000 0.000 1
Co1 Co 0.132 0.632 0.500 1

[7]
# Zr2TiSbPb | Alexandria via LeMat-Bulk | PBE | relaxed
# N(E_F) = 9.19 states/eV per cell
# raw formation energy = 1.41 eV per atom
data_Zr2TiSbPb
_chemical_formula_sum 'Zr2 Ti1 Sb1 Pb1'
_cell_length_a 5.370
_cell_length_b 5.370
_cell_length_c 5.595
_cell_angle_alpha 90.00
_cell_angle_beta 90.00
_cell_angle_gamma 90.00
_space_group_name_H-M_alt 'P 4/m m m'
_space_group_IT_number 123
_space_group_name_Hall '-P 4 2'
loop_
_atom_site_label
_atom_site_type_symbol
_atom_site_fract_x
_atom_site_fract_y
_atom_site_fract_z
_atom_site_occupancy
Zr1 Zr 0.000 0.500 0.000 1
Ti1 Ti 0.000 0.000 0.500 1
Sb1 Sb 0.500 0.500 0.500 1
Pb1 Pb 0.500 0.500 0.000 1

[8]
# LaLuTe2 | Alexandria via LeMat-Bulk | PBE | relaxed
# offset from the most stable computed form = 0 meV/atom
# N(E_F) = 6.45 states/eV per cell
# raw formation energy = -1.36 eV per atom
data_LaLuTe2
_chemical_formula_sum 'La3 Lu3 Te6'
_cell_length_a 4.3351
_cell_length_b 4.3351
_cell_length_c 22.6069
_cell_angle_alpha 90.00
_cell_angle_beta 90.00
_cell_angle_gamma 120.00
_space_group_name_H-M_alt 'R -3 m'
_space_group_IT_number 166
_space_group_name_Hall '-R 3 2"'
loop_
_atom_site_label
_atom_site_type_symbol
_atom_site_fract_x
_atom_site_fract_y
_atom_site_fract_z
_atom_site_occupancy
La1 La 0.0000 0.0000 0.0000 1
Lu1 Lu 0.0000 0.0000 0.5000 1
Te1 Te 0.0000 0.0000 0.2418 1

[9]
# Ba3MoN4 | Alexandria via LeMat-Bulk | PBE | relaxed
# offset from the most stable computed form = 0 meV/atom
# N(E_F) = 0.00 states/eV per cell
# raw formation energy = -0.85 eV per atom
data_Ba3MoN4
_chemical_formula_sum 'Ba24 Mo8 N32'
_cell_length_a 10.517
_cell_length_b 12.392
_cell_length_c 10.959
_cell_angle_alpha 90.00
_cell_angle_beta 90.00
_cell_angle_gamma 90.00
_space_group_name_H-M_alt 'P b c a'
_space_group_IT_number 61
loop_
_space_group_symop_operation_xyz
'x,y,z'
'-x,-y,-z'
'-x+1/2,-y,z+1/2'
'x+1/2,y,-z+1/2'
'x+1/2,-y+1/2,-z'
'-x+1/2,y+1/2,z'
'-x,y+1/2,-z+1/2'
'x,-y+1/2,z+1/2'
loop_
_atom_site_label
_atom_site_type_symbol
_atom_site_fract_x
_atom_site_fract_y
_atom_site_fract_z
_atom_site_occupancy
Ba1 Ba 0.032 0.107 0.125 1
Ba2 Ba 0.121 0.639 0.030 1
Ba3 Ba 0.206 0.121 0.721 1
Mo1 Mo 0.201 0.115 0.405 1
N1 N 0.076 0.018 0.348 1
N2 N 0.123 0.217 0.506 1
N3 N 0.187 0.537 0.507 1
N4 N 0.207 0.678 0.274 1